Crystalline PaMo2C2 at its relaxed geometry, computed with PBE-GGA.

## Properties
Formation energy from the elements in eV/atom: -0.051
Uncorrected energy in eV per atom: -9.97
ρ in g/cm3: 10.249

Lattice parameters (Å, degrees): 6.356 5.809 5.690 67.09 57.35 55.56
Fractional positions:
Pa  0.125  0.125  0.125
Pa  0.875  0.875  0.875
Mo  0.228  0.228  0.522
Mo  0.478  0.478  0.772
Mo  0.522  0.522  0.228
Mo  0.772  0.772  0.478
C  0.172  0.578  0.172
C  0.422  0.828  0.422
C  0.578  0.172  0.578
C  0.828  0.422  0.828